A relaxed CsPrTe2 crystal, computed with PBE-GGA.

Cell: 4.052 4.052 9.130 Å, 90.00 90.00 90.00°
Atoms (fractional coordinates):
Cs 0.000 0.000 0.000
Pr 0.000 0.000 0.500
Te 0.500 0.500 0.299
Te 0.500 0.500 0.701

Values from the calculation:
raw formation energy	-28.8	kcal/mol of atoms
space-group type	P4/mmm